No. 1
6
Lattice="4.3862 0.0000 0.0000 0.0000 4.3862 0.0000 0.0000 0.0000 7.4365" Properties=species:S:1:pos:R:3 comment="TbTiHg, relaxed, DFT GGA-PBE" dos_ef_per_ev_fu=3.77 rho_g_cm3=9.457 vol_a3_per_atom=23.8 space_group="P4/nmm, No. 129" formation_energy_ev_per_atom=-0.125 pbc="T T T"
Tb 0.0000 2.1931 6.2479
Tb 2.1931 0.0000 1.1886
Hg 0.0000 2.1931 1.8780
Hg 2.1931 0.0000 5.5585
Ti 2.1931 2.1931 3.7183
Ti 0.0000 0.0000 3.7183

No. 2
7
Lattice="4.9460 0.0000 0.0000 -2.4730 5.5711 -0.6376 0.0000 0.8802 6.4929" Properties=species:S:1:pos:R:3 comment="Ce3Pu2In2, relaxed, DFT GGA-PBE" dos_ef_per_ev_fu=12.87 rho_g_cm3=10.401 de_polymorph_mev_per_atom=0 vol_a3_per_atom=26.0 space_group="C2/m, No. 12" formation_energy_ev_per_atom=-0.175 pbc="T T T"
Ce 0.0000 0.0000 0.0000
Ce 2.4730 2.4999 1.0407
Ce 0.0000 3.9514 4.8146
Pu 2.4730 4.8414 3.7268
Pu 0.0000 1.6099 2.1285
In 2.4730 1.6123 4.3772
In 0.0000 4.8390 1.4781

No. 3
4
Lattice="3.1032 0.0000 0.0000 0.0000 3.1032 0.0000 0.0000 0.0000 5.5625" Properties=species:S:1:pos:R:3 comment="CrFe2Sb, relaxed, DFT GGA-PBE" dos_ef_per_ev_fu=4.85 rho_g_cm3=8.849 vol_a3_per_atom=13.4 raw_formation_energy_ev_per_atom=0.332 space_group="P4/mmm, No. 123" pbc="T T T"
Cr 1.5516 1.5516 4.1719
Fe 0.0000 0.0000 5.4617
Fe 0.0000 0.0000 2.8820
Sb 1.5516 1.5516 1.3906